{"formula": "KCaCr2H", "functional": "GGA-PBE", "state": "relaxed", "lattice_angstrom": [[3.831, 0.000, 0.000], [0.000, 3.831, 0.000], [0.000, 0.000, 5.392]], "species": ["K", "Ca", "Cr", "Cr", "H"], "frac_coords": [[0.000, 0.000, 0.000], [0.500, 0.500, 0.000], [0.000, 0.500, 0.500], [0.500, 0.000, 0.500], [0.000, 0.000, 0.500]], "spacegroup": "P4/mmm (123)", "dft_energy_ev_per_cell": -19.96, "n_ef_per_ev_fu": 2.029}